This record from the Open Quantum Materials Database describes Ho4TeC2Se after structural relaxation. The functional is PBE.

It has space group P-6m2 (No. 187), with a = 3.7672 Å, b = 3.7672 Å, c = 13.6253 Å, α = 90.00°, β = 90.00° and γ = 120.00°. Symmetry generates all atoms from Ho at (0.0000, 0.0000, 0.1442), Ho at (0.3333, 0.6667, 0.3363), Te at (0.0000, 0.0000, 0.5000), C at (0.6667, 0.3333, 0.2417) and Se at (0.3333, 0.6667, 0.0000).

As for the raw total energy: -6.4447 eV/atom.